{
  "formula": "Cr2BrF",
  "functional": "PBE+U",
  "state": "relaxed",
  "spacegroup": "No. 122",
  "total_energy_ev_per_atom": -5.388,
  "magmom_total_mub_per_cell": 20.000,
  "cell": [[-2.7150, 2.7150, 6.2745], [2.7150, -2.7150, 6.2745], [2.7150, 2.7150, -6.2745]],
  "species": ["Cr", "Cr", "Cr", "Cr", "Br", "Br", "F", "F"],
  "fractional_positions": [[0.0413, 0.6250, 0.9163], [0.3750, 0.2913, 0.4163], [0.7087, 0.1250, 0.0837], [0.8750, 0.9587, 0.5837], [0.2500, 0.7500, 0.5000], [0.5000, 0.5000, 0.0000], [0.0000, 0.0000, 0.0000], [0.7500, 0.2500, 0.5000]]
}